No. 1
Compound: KTc3Te
Source: the Alexandria database
Functional: PBE
Structure: relaxed

```
KTc3Te
1.0
4.668 0.000 0.000
0.000 4.668 0.000
0.000 0.000 4.668
K Tc Te
1 3 1
Direct
0.000 0.000 0.000
0.000 0.000 0.500
0.000 0.500 0.000
0.500 0.000 0.000
0.500 0.500 0.500
```

Output
The value obtained for the energy relative to the lowest polymorph listed for this composition is 1304 meV per atom. The calculation puts the formation energy (no corrections) at 2972.9 meV/atom. The density of states at the Fermi level is 1.305 states/eV/atom. The value obtained for the total moment is 3.2 μB per cell.

***

No. 2
Compound: K2TcTe
Source: the Alexandria database
Functional: PBE
Structure: relaxed

```
K2TcTe
1.0
4.633 0.000 0.000
0.000 4.675 0.000
0.000 0.000 5.900
K Tc Te
2 1 1
Direct
0.001 0.000 0.253
0.999 0.000 0.747
0.500 0.500 0.000
0.500 0.500 0.500
```

Output
The calculation puts the formation energy (no corrections) at 524.2 meV/atom. The density of states at the Fermi level is 0.663 states/eV/atom. The value obtained for the total moment is 3.4 μB per cell.

***

No. 3
Compound: K2TcTe
Source: the Alexandria database
Functional: PBE
Structure: relaxed

```
K2TcTe
1.0
0.000 3.806 3.806
3.806 0.000 3.806
3.806 3.806 0.000
K Tc Te
2 1 1
Direct
0.000 0.000 0.000
0.250 0.250 0.250
0.500 0.500 0.500
0.750 0.750 0.750
```

Output
The calculation puts the formation energy (no corrections) at 597.8 meV/atom. The density of states at the Fermi level is 1.157 states/eV/atom. The value obtained for the total moment is 3.1 μB per cell.

***

No. 4
Compound: KTcTe
Source: the Alexandria database
Functional: PBE
Structure: relaxed

```
KTcTe
1.0
-1.730 1.730 6.459
1.730 -1.730 6.459
1.730 1.730 -6.459
K Tc Te
1 1 1
Direct
0.000 0.000 0.000
0.299 0.299 0.000
0.714 0.714 0.000
```

Output
The value obtained for the energy relative to the lowest polymorph listed for this composition is 0 meV per atom. The calculation puts the formation energy (no corrections) at 223.0 meV/atom. The density of states at the Fermi level is 0.922 states/eV/atom. The value obtained for the total moment is 0.0 μB per cell.

***

No. 5
Compound: KTcTe
Source: the Alexandria database
Functional: PBE
Structure: relaxed

```
KTcTe
1.0
0.000 3.541 3.541
3.541 0.000 3.541
3.541 3.541 0.000
K Tc Te
1 1 1
Direct
0.000 0.000 0.000
0.250 0.250 0.250
0.500 0.500 0.500
```

Output
The value obtained for the energy relative to the lowest polymorph listed for this composition is 546 meV per atom. The calculation puts the formation energy (no corrections) at 769.2 meV/atom. The density of states at the Fermi level is 1.859 states/eV/atom. The value obtained for the total moment is 3.8 μB per cell.

***

No. 6
Compound: K2TcTe
Source: the Alexandria database
Functional: PBE
Structure: relaxed

```
K2TcTe
1.0
-2.255 2.272 5.489
2.255 -2.272 5.489
2.255 2.272 -5.489
K Tc Te
2 1 1
Direct
0.250 0.250 0.000
0.750 0.750 0.000
0.500 0.000 0.500
0.000 0.500 0.500
```

Output
The calculation puts the formation energy (no corrections) at 581.4 meV/atom. The density of states at the Fermi level is 1.024 states/eV/atom. The value obtained for the total moment is 3.0 μB per cell.

***

No. 7
Compound: KTc2Te4
Source: the Alexandria database
Functional: PBE
Structure: relaxed

```
KTc2Te4
1.0
-2.929 2.929 7.466
2.929 -2.929 7.466
2.929 2.929 -7.466
K Tc Te
1 2 4
Direct
0.000 0.000 0.000
0.424 0.424 0.000
0.576 0.576 0.000
0.000 0.500 0.500
0.255 0.255 0.000
0.500 0.000 0.500
0.745 0.745 0.000
```

Output
The calculation puts the formation energy (no corrections) at 734.8 meV/atom. The density of states at the Fermi level is 1.217 states/eV/atom. The value obtained for the total moment is 3.4 μB per cell.

***

No. 8
Compound: K2TcTe
Source: the Alexandria database
Functional: PBE
Structure: relaxed

```
K2TcTe
1.0
1.723 0.995 11.568
-1.723 0.995 11.568
0.000 -1.990 11.568
K Tc Te
2 1 1
Direct
0.250 0.250 0.250
0.750 0.750 0.750
0.500 0.500 0.500
0.000 0.000 0.000
```

Output
The calculation puts the formation energy (no corrections) at 826.1 meV/atom. The density of states at the Fermi level is 1.413 states/eV/atom. The value obtained for the total moment is 2.9 μB per cell.

***

No. 9
Compound: KTcTe2
Source: the Alexandria database
Functional: PBE
Structure: relaxed

```
KTcTe2
1.0
3.283 0.000 0.000
0.000 4.116 0.000
-0.677 0.000 8.218
K Tc Te
1 1 2
Direct
0.000 0.000 0.000
0.500 0.000 0.500
0.429 0.500 0.707
0.571 0.500 0.293
```

Output
The value obtained for the energy relative to the lowest polymorph listed for this composition is 282 meV per atom. The calculation puts the formation energy (no corrections) at 14.6 meV/atom. The density of states at the Fermi level is 0.852 states/eV/atom. The value obtained for the total moment is 1.4 μB per cell.

***

No. 10
Compound: KTcTe2
Source: the Alexandria database
Functional: PBE
Structure: relaxed

```
KTcTe2
1.0
4.101 -4.105 0.000
4.101 4.105 0.000
-0.009 0.000 3.159
K Tc Te
1 1 2
Direct
0.000 0.000 0.000
0.500 0.500 0.000
0.000 0.500 0.500
0.500 0.000 0.500
```

Output
The value obtained for the energy relative to the lowest polymorph listed for this composition is 631 meV per atom. The calculation puts the formation energy (no corrections) at 363.8 meV/atom. The density of states at the Fermi level is 0.627 states/eV/atom. The value obtained for the total moment is 3.4 μB per cell.

***

No. 11
Compound: K2TcTe
Source: the Alexandria database
Functional: PBE
Structure: relaxed

```
K2TcTe
1.0
4.555 0.000 0.000
0.000 4.643 0.000
0.000 0.000 5.437
K Tc Te
2 1 1
Direct
0.000 0.000 0.000
0.500 0.500 0.000
0.000 0.500 0.500
0.500 0.000 0.500
```

Output
The calculation puts the formation energy (no corrections) at 574.2 meV/atom. The density of states at the Fermi level is 0.986 states/eV/atom. The value obtained for the total moment is 3.2 μB per cell.

***

No. 12
Compound: KTcTe2
Source: the Alexandria database
Functional: PBE
Structure: relaxed

```
KTcTe2
1.0
-3.990 3.990 4.431
3.990 -3.990 4.431
3.990 3.990 -4.431
K Tc Te
2 2 4
Direct
0.000 0.000 0.000
0.750 0.250 0.500
0.250 0.750 0.500
0.500 0.500 0.000
0.226 0.125 0.601
0.375 0.774 0.899
0.524 0.625 0.399
0.875 0.476 0.101
```

Output
The value obtained for the energy relative to the lowest polymorph listed for this composition is 109 meV per atom. The calculation puts the formation energy (no corrections) at -158.5 meV/atom. The density of states at the Fermi level is 1.069 states/eV/atom. The value obtained for the total moment is 0.0 μB per cell.

***

No. 13
Compound: KTc2Te2
Source: the Alexandria database
Functional: PBE
Structure: relaxed

```
KTc2Te2
1.0
8.318 0.000 0.000
0.000 8.318 0.000
0.000 0.000 3.199
K Tc Te
2 4 4
Direct
0.000 0.000 0.000
0.500 0.500 0.000
0.124 0.376 0.500
0.376 0.876 0.500
0.624 0.124 0.500
0.876 0.624 0.500
0.144 0.644 0.000
0.356 0.144 0.000
0.644 0.856 0.000
0.856 0.356 0.000
```

Output
The value obtained for the energy relative to the lowest polymorph listed for this composition is 569 meV per atom. The calculation puts the formation energy (no corrections) at 428.2 meV/atom. The density of states at the Fermi level is 0.981 states/eV/atom. The value obtained for the total moment is 1.6 μB per cell.

***

No. 14
Compound: KTcTe2
Source: the Alexandria database
Functional: PBE
Structure: relaxed

```
KTcTe2
1.0
-1.678 3.249 5.673
1.678 -3.249 5.673
1.678 3.249 -5.673
K Tc Te
1 1 2
Direct
0.000 0.000 0.000
0.500 0.500 0.000
0.319 0.819 0.500
0.681 0.181 0.500
```

Output
The value obtained for the energy relative to the lowest polymorph listed for this composition is 273 meV per atom. The calculation puts the formation energy (no corrections) at 5.9 meV/atom. The density of states at the Fermi level is 0.568 states/eV/atom. The value obtained for the total moment is 1.6 μB per cell.

***

No. 15
Compound: K2TcTe
Source: the Alexandria database
Functional: PBE
Structure: relaxed

```
K2TcTe
1.0
2.916 -4.907 0.000
2.916 4.907 0.000
0.000 0.000 4.454
K Tc Te
2 1 1
Direct
0.000 0.500 0.000
0.500 0.000 0.000
0.000 0.000 0.500
0.500 0.500 0.500
```

Output
The calculation puts the formation energy (no corrections) at 553.2 meV/atom. The density of states at the Fermi level is 0.690 states/eV/atom. The value obtained for the total moment is 3.3 μB per cell.

***

No. 16
Compound: KTcTe2
Source: the Alexandria database
Functional: PBE
Structure: relaxed

```
KTcTe2
1.0
1.949 1.125 9.965
-1.949 1.125 9.965
0.000 -2.250 9.965
K Tc Te
1 1 2
Direct
0.000 0.000 0.000
0.500 0.500 0.500
0.114 0.114 0.114
0.886 0.886 0.886
```

Output
The value obtained for the energy relative to the lowest polymorph listed for this composition is 197 meV per atom. The calculation puts the formation energy (no corrections) at -69.8 meV/atom. The density of states at the Fermi level is 0.362 states/eV/atom. The value obtained for the total moment is 1.6 μB per cell.

***

No. 17
Compound: K4TcTe
Source: the Alexandria database
Functional: PBE
Structure: relaxed

```
K4TcTe
1.0
0.000 4.917 4.917
4.917 0.000 4.917
4.917 4.917 0.000
K Tc Te
4 1 1
Direct
0.376 0.376 0.376
0.376 0.376 0.871
0.376 0.871 0.376
0.871 0.376 0.376
0.000 0.000 0.000
0.750 0.750 0.750
```

Output
The calculation puts the formation energy (no corrections) at 782.9 meV/atom. The density of states at the Fermi level is 1.271 states/eV/atom. The value obtained for the total moment is 3.3 μB per cell.

***

No. 18
Compound: KTiTc3
Source: the Alexandria database
Functional: PBE
Structure: relaxed

```
KTiTc3
1.0
4.743 0.000 0.000
0.000 4.743 0.000
0.000 0.000 4.743
K Ti Tc
1 1 3
Direct
0.000 0.000 0.000
0.500 0.500 0.500
0.000 0.500 0.500
0.500 0.000 0.500
0.500 0.500 0.000
```

Output
The value obtained for the energy relative to the lowest polymorph listed for this composition is 0 meV per atom. The density of states at the Fermi level is 1.309 states/eV/atom. The value obtained for the total moment is 3.6 μB per cell. The formation energy comes out at 1.56 eV per atom.

***

No. 19
Compound: KTiVTc2
Source: the Alexandria database
Functional: PBE
Structure: relaxed

```
KTiVTc2
1.0
4.636 0.000 0.000
0.000 4.636 0.000
0.000 0.000 4.855
K Ti V Tc
1 1 1 2
Direct
0.000 0.000 0.000
0.500 0.500 0.000
0.500 0.500 0.500
0.000 0.500 0.500
0.500 0.000 0.500
```

Output
The density of states at the Fermi level is 1.311 states/eV/atom. The value obtained for the total moment is 1.2 μB per cell. The formation energy comes out at 1.21 eV per atom.

***

No. 20
Compound: K2Tl6Tc
Source: the Alexandria database
Functional: PBE
Structure: relaxed

```
K2Tl6Tc
1.0
0.000 5.132 5.132
5.132 0.000 5.132
5.132 5.132 0.000
K Tl Tc
2 6 1
Direct
0.250 0.250 0.250
0.750 0.750 0.750
0.231 0.231 0.769
0.231 0.769 0.231
0.231 0.769 0.769
0.769 0.231 0.231
0.769 0.231 0.769
0.769 0.769 0.231
0.500 0.500 0.500
```

Output
The density of states at the Fermi level is 0.768 states/eV/atom. The value obtained for the total moment is 0.8 μB per cell. The formation energy comes out at 0.17 eV per atom.